No. 1
A plane-wave DFT calculation with PBE-GGA was carried out for V7CoNi12 after structural relaxation.

Values from the calculation:
Spin magnetization   0.998 μB per formula unit
Electronic total energy   -138.0 eV per formula unit
SG   R-3m

Geometry as CIF:
```
data_V7CoNi12
_chemical_formula_sum 'V7 Co1 Ni12'
_cell_length_a 7.267
_cell_length_b 7.267
_cell_length_c 7.267
_cell_angle_alpha 113.26
_cell_angle_beta 113.26
_cell_angle_gamma 113.26
_space_group_name_H-M_alt 'P 1'
_space_group_IT_number 1
loop_
_space_group_symop_operation_xyz
'x,y,z'
loop_
_atom_site_label
_atom_site_type_symbol
_atom_site_fract_x
_atom_site_fract_y
_atom_site_fract_z
Ni1 Ni 0.775 0.225 0.500
Ni2 Ni 0.676 0.676 0.012
Ni3 Ni 0.225 0.500 0.775
Ni4 Ni 0.324 0.324 0.988
Ni5 Ni 0.988 0.324 0.324
Ni6 Ni 0.225 0.775 0.500
Ni7 Ni 0.775 0.500 0.225
Ni8 Ni 0.676 0.012 0.676
Ni9 Ni 0.500 0.775 0.225
Ni10 Ni 0.500 0.225 0.775
Ni11 Ni 0.012 0.676 0.676
Ni12 Ni 0.324 0.988 0.324
V1 V 0.899 0.566 0.899
V2 V 0.434 0.101 0.101
V3 V 0.500 0.500 0.500
V4 V 0.101 0.434 0.101
V5 V 0.566 0.899 0.899
V6 V 0.101 0.101 0.434
V7 V 0.899 0.899 0.566
Co1 Co 0.000 0.000 0.000
```

No. 2
A plane-wave DFT calculation with PBE-GGA was carried out for TaTi after structural relaxation.

Values from the calculation:
Spin magnetization   0.000 μB per formula unit
Electronic total energy   -16.3 eV per formula unit
SG   P6_3/mmc

Geometry as CIF:
```
data_TaTi
_chemical_formula_sum 'Ta2 Ti2'
_cell_length_a 4.637
_cell_length_b 4.637
_cell_length_c 5.149
_cell_angle_alpha 90.00
_cell_angle_beta 90.00
_cell_angle_gamma 120.00
_space_group_name_H-M_alt 'P 1'
_space_group_IT_number 1
loop_
_space_group_symop_operation_xyz
'x,y,z'
loop_
_atom_site_label
_atom_site_type_symbol
_atom_site_fract_x
_atom_site_fract_y
_atom_site_fract_z
Ti1 Ti 0.333 0.667 0.250
Ti2 Ti 0.667 0.333 0.750
Ta1 Ta 0.333 0.667 0.750
Ta2 Ta 0.667 0.333 0.250
```

No. 3
A plane-wave DFT calculation with PBE-GGA was carried out for Zr4ZnTc after structural relaxation.

Values from the calculation:
Spin magnetization   0.000 μB per formula unit
SG   F-43m
Relative energy among the computed polymorphs   768 meV/atom

Geometry as CIF:
```
data_Zr4ZnTc
_chemical_formula_sum 'Zr4 Zn1 Tc1'
_cell_length_a 5.602
_cell_length_b 5.602
_cell_length_c 5.602
_cell_angle_alpha 60.00
_cell_angle_beta 60.00
_cell_angle_gamma 60.00
_space_group_name_H-M_alt 'P 1'
_space_group_IT_number 1
loop_
_space_group_symop_operation_xyz
'x,y,z'
loop_
_atom_site_label
_atom_site_type_symbol
_atom_site_fract_x
_atom_site_fract_y
_atom_site_fract_z
Zr1 Zr 0.377 0.870 0.377
Zr2 Zr 0.377 0.377 0.377
Zr3 Zr 0.377 0.377 0.870
Zr4 Zr 0.870 0.377 0.377
Zn1 Zn 0.000 0.000 0.000
Tc1 Tc 0.750 0.750 0.750
```

No. 4
A plane-wave DFT calculation with PBE-GGA was carried out for TbY2Al after structural relaxation.

Values from the calculation:
Spin magnetization   0.000 μB per formula unit
SG   P2_1/m
Relative energy among the computed polymorphs   0 meV/atom

Geometry as CIF:
```
data_TbY2Al
_chemical_formula_sum 'Tb2 Y4 Al2'
_cell_length_a 5.101
_cell_length_b 6.856
_cell_length_c 6.688
_cell_angle_alpha 73.76
_cell_angle_beta 90.00
_cell_angle_gamma 90.00
_space_group_name_H-M_alt 'P 1'
_space_group_IT_number 1
loop_
_space_group_symop_operation_xyz
'x,y,z'
loop_
_atom_site_label
_atom_site_type_symbol
_atom_site_fract_x
_atom_site_fract_y
_atom_site_fract_z
Y1 Y 0.250 0.247 0.377
Y2 Y 0.250 0.416 0.807
Y3 Y 0.750 0.584 0.193
Y4 Y 0.750 0.753 0.623
Tb1 Tb 0.250 0.904 0.883
Tb2 Tb 0.750 0.096 0.117
Al1 Al 0.250 0.773 0.369
Al2 Al 0.750 0.227 0.631
```

No. 5
A plane-wave DFT calculation with PBE-GGA was carried out for AcLa3In3 after structural relaxation.

Values from the calculation:
Spin magnetization   0.000 μB per formula unit
Electronic total energy   -29.6 eV per formula unit
SG   P6_3/m

Geometry as CIF:
```
data_AcLa3In3
_chemical_formula_sum 'Ac2 La6 In6'
_cell_length_a 5.313
_cell_length_b 10.092
_cell_length_c 10.092
_cell_angle_alpha 120.00
_cell_angle_beta 90.00
_cell_angle_gamma 90.00
_space_group_name_H-M_alt 'P 1'
_space_group_IT_number 1
loop_
_space_group_symop_operation_xyz
'x,y,z'
loop_
_atom_site_label
_atom_site_type_symbol
_atom_site_fract_x
_atom_site_fract_y
_atom_site_fract_z
In1 In 0.750 0.938 0.549
In2 In 0.750 0.610 0.062
In3 In 0.250 0.390 0.938
In4 In 0.250 0.549 0.610
In5 In 0.750 0.451 0.390
In6 In 0.250 0.062 0.451
La1 La 0.750 0.764 0.755
La2 La 0.250 0.236 0.245
La3 La 0.250 0.755 0.991
La4 La 0.750 0.245 0.009
La5 La 0.750 0.991 0.236
La6 La 0.250 0.009 0.764
Ac1 Ac 0.250 0.667 0.333
Ac2 Ac 0.750 0.333 0.667
```

No. 6
A plane-wave DFT calculation with PBE-GGA was carried out for BaCa2Zr after structural relaxation.

Values from the calculation:
Spin magnetization   0.000 μB per formula unit
SG   P4/mmm
Relative energy among the computed polymorphs   0 meV/atom

Geometry as CIF:
```
data_BaCa2Zr
_chemical_formula_sum 'Ba1 Ca2 Zr1'
_cell_length_a 3.682
_cell_length_b 3.681
_cell_length_c 11.343
_cell_angle_alpha 90.00
_cell_angle_beta 90.00
_cell_angle_gamma 90.00
_space_group_name_H-M_alt 'P 1'
_space_group_IT_number 1
loop_
_space_group_symop_operation_xyz
'x,y,z'
loop_
_atom_site_label
_atom_site_type_symbol
_atom_site_fract_x
_atom_site_fract_y
_atom_site_fract_z
Ca1 Ca 0.000 0.000 0.048
Ca2 Ca 0.000 0.000 0.452
Ba1 Ba 0.500 0.500 0.750
Zr1 Zr 0.500 0.500 0.250
```